No. 1
{"formula": "LiHgRu2", "functional": "PBE-GGA", "state": "optimized geometry", "cell": [[2.906, 0.000, 0.000], [0.000, 2.906, 0.000], [0.000, 0.000, 7.170]], "species": ["Li", "Hg", "Ru", "Ru"], "frac_coords": [[0.000, 0.000, 0.000], [0.500, 0.500, 0.753], [0.000, 0.000, 0.451], [0.500, 0.500, 0.236]], "spacegroup": "No. 99", "e_form_ev_per_atom": 0.14}

No. 2
{"formula": "Ce2ErBi", "functional": "PBE-GGA", "state": "optimized geometry", "cell": [[4.618, 0.000, 0.000], [0.000, 4.618, 0.000], [0.000, 0.000, 5.205]], "species": ["Ce", "Ce", "Er", "Bi"], "frac_coords": [[0.000, 0.500, 0.000], [0.500, 0.000, 0.000], [0.000, 0.000, 0.500], [0.500, 0.500, 0.500]], "spacegroup": "No. 123", "e_form_ev_per_atom": -0.36, "de_polymorph_ev_per_atom": 0.042}

No. 3
{"formula": "AgSbTeS", "functional": "PBE-GGA", "state": "optimized geometry", "cell": [[6.987, 0.000, 0.000], [0.000, 4.696, 0.000], [-3.463, 0.000, 7.357]], "species": ["Ag", "Ag", "Sb", "Sb", "Te", "Te", "S", "S"], "frac_coords": [[0.000, 0.000, 0.000], [0.500, 0.500, 0.000], [0.387, 0.000, 0.379], [0.887, 0.500, 0.379], [0.339, 0.500, 0.612], [0.839, 0.000, 0.612], [0.413, 0.000, 0.078], [0.913, 0.500, 0.078]], "e_form_raw_ev_per_atom": 0.00, "spacegroup": "No. 8"}

No. 4
{"formula": "NbV6Fe2", "functional": "PBE-GGA", "state": "optimized geometry", "cell": [[4.003, 0.000, 0.000], [0.000, 4.003, 0.000], [0.000, 0.000, 7.781]], "species": ["Nb", "V", "V", "V", "V", "V", "V", "Fe", "Fe"], "frac_coords": [[0.000, 0.000, 0.000], [0.000, 0.000, 0.500], [0.000, 0.500, 0.291], [0.000, 0.500, 0.709], [0.500, 0.000, 0.291], [0.500, 0.000, 0.709], [0.500, 0.500, 0.500], [0.500, 0.500, 0.138], [0.500, 0.500, 0.862]], "spacegroup": "No. 123", "e_form_ev_per_atom": 0.09}

| no. | magnetic moment (μB/f.u.) | electronic total energy (eV/atom) |
| --- | --- | --- |
| 1 | 0.0 | -5.05 |
| 2 | 1.3 | -5.44 |
| 3 | 0.0 | -3.56 |
| 4 | 0.0 | -8.99 |